Version P
A plane-wave DFT calculation with PBE was carried out for a geometry-optimized NaHfAsO structure.

Output
M_tot in μB/f.u.: 0.0

Lattice parameters (Å, degrees): 5.2996 5.2996 4.7398 90.00 90.00 90.00
Space group P4/nmm (No. 129, origin choice 2)
One atom of each set of equivalent atoms:
Na1 0.2500 0.2500 0.0040 (multiplicity 2)
Hf1 0.2500 0.7500 0.5000 (multiplicity 2)
As1 0.2500 0.2500 0.5043 (multiplicity 2)
O1 0.2500 0.7500 0.0000 (multiplicity 2)


Version Q
A plane-wave DFT calculation with PBE was carried out for a geometry-optimized NaHfAsO structure.

Output
M_tot in μB/f.u.: 0.0

Lattice parameters (Å, degrees): 3.9930 7.2460 6.2198 90.00 90.00 90.00
Space group Pmc2_1 (No. 26)
One atom of each set of equivalent atoms:
Na1 0.0000 0.1822 0.0000 (multiplicity 2)
Hf1 0.5000 0.4014 0.6177 (multiplicity 2)
As1 0.0000 0.2182 0.4691 (multiplicity 2)
O1 0.5000 0.3723 0.9376 (multiplicity 2)


Most stable of them? version Q.


Version P
A plane-wave DFT calculation with PBE was carried out for a geometry-optimized NaHfAsO structure.

Output
M_tot in μB/f.u.: 0.0

Lattice parameters (Å, degrees): 3.6844 3.6844 9.5411 90.00 90.00 90.00
Space group P4/nmm (No. 129, origin choice 2)
One atom of each set of equivalent atoms:
Na1 0.2500 0.7500 0.0000 (multiplicity 2)
Hf1 0.2500 0.2500 0.3768 (multiplicity 2)
As1 0.2500 0.2500 0.7707 (multiplicity 2)
O1 0.2500 0.7500 0.5000 (multiplicity 2)


Version Q
A plane-wave DFT calculation with PBE was carried out for a geometry-optimized NaHfAsO structure.

Output
M_tot in μB/f.u.: 0.0

Lattice parameters (Å, degrees): 3.6418 7.2730 5.6019 90.00 90.00 90.00
Space group Pmc2_1 (No. 26)
One atom of each set of equivalent atoms:
Na1 0.0000 0.0031 0.0000 (multiplicity 2)
Hf1 0.5000 0.3583 0.7446 (multiplicity 2)
As1 0.5000 0.2825 0.2456 (multiplicity 2)
O1 0.0000 0.2430 0.7451 (multiplicity 2)


Most stable of them? version Q.


Version P
A plane-wave DFT calculation with PBE was carried out for a geometry-optimized NaHfAsOs structure.

Output
M_tot in μB/f.u.: 0.0

Lattice parameters (Å, degrees): 6.4200 6.4200 6.4200 90.00 90.00 90.00
Space group F-43m (No. 216)
One atom of each set of equivalent atoms:
Na1 0.0000 0.0000 0.0000 (multiplicity 4)
Hf1 0.2500 0.2500 0.2500 (multiplicity 4)
As1 0.2500 0.2500 0.7500 (multiplicity 4)
Os1 0.0000 0.0000 0.5000 (multiplicity 4)


Version Q
A plane-wave DFT calculation with PBE was carried out for a geometry-optimized NaHfAsOs structure.

Output
M_tot in μB/f.u.: 0.0

Lattice parameters (Å, degrees): 6.5453 6.5453 6.5453 90.00 90.00 90.00
Space group F-43m (No. 216)
One atom of each set of equivalent atoms:
Na1 0.0000 0.0000 0.0000 (multiplicity 4)
Hf1 0.0000 0.0000 0.5000 (multiplicity 4)
As1 0.2500 0.2500 0.2500 (multiplicity 4)
Os1 0.2500 0.2500 0.7500 (multiplicity 4)


Most stable of them? version P.


Version P
A plane-wave DFT calculation with PBE was carried out for a geometry-optimized HfNbAsO structure.

Output
M_tot in μB/f.u.: 0.0

Lattice parameters (Å, degrees): 3.8046 3.8046 8.4656 90.00 90.00 90.00
Space group P4/nmm (No. 129, origin choice 2)
One atom of each set of equivalent atoms:
Hf1 0.2500 0.7500 0.0000 (multiplicity 2)
Nb1 0.2500 0.2500 0.3570 (multiplicity 2)
As1 0.2500 0.2500 0.7630 (multiplicity 2)
O1 0.2500 0.7500 0.5000 (multiplicity 2)


Version Q
A plane-wave DFT calculation with PBE was carried out for a geometry-optimized HfNbAsO structure.

Output
M_tot in μB/f.u.: 0.0

Lattice parameters (Å, degrees): 4.2442 5.0425 6.0951 90.00 90.00 90.00
Space group Pmc2_1 (No. 26)
One atom of each set of equivalent atoms:
Hf1 0.0000 0.2244 0.0000 (multiplicity 2)
Nb1 0.5000 0.3945 0.3216 (multiplicity 2)
As1 0.5000 0.1056 0.6737 (multiplicity 2)
O1 0.0000 0.4517 0.2912 (multiplicity 2)


Version R
A plane-wave DFT calculation with PBE was carried out for a geometry-optimized HfNbAsO structure.

Output
M_tot in μB/f.u.: 0.0

Lattice parameters (Å, degrees): 3.7885 3.7885 8.5394 90.00 90.00 90.00
Space group P4/nmm (No. 129, origin choice 2)
One atom of each set of equivalent atoms:
Hf1 0.2500 0.2500 0.1387 (multiplicity 2)
Nb1 0.2500 0.7500 0.5000 (multiplicity 2)
As1 0.2500 0.2500 0.7237 (multiplicity 2)
O1 0.2500 0.7500 0.0000 (multiplicity 2)


Most stable of them? version R.


Version P
A plane-wave DFT calculation with PBE was carried out for a geometry-optimized NdHfAsO structure.

Output
M_tot in μB/f.u.: 0.0

Lattice parameters (Å, degrees): 4.1636 7.3504 6.0270 90.00 90.00 90.00
Space group Pmc2_1 (No. 26)
One atom of each set of equivalent atoms:
Nd1 0.0000 0.2162 0.0000 (multiplicity 2)
Hf1 0.5000 0.3965 0.5627 (multiplicity 2)
As1 0.0000 0.1821 0.4960 (multiplicity 2)
O1 0.5000 0.3561 0.9014 (multiplicity 2)


Version Q
A plane-wave DFT calculation with PBE was carried out for a geometry-optimized NdHfAsO structure.

Output
M_tot in μB/f.u.: 0.0

Lattice parameters (Å, degrees): 4.1454 4.1454 8.6045 90.00 90.00 90.00
Space group P4/nmm (No. 129, origin choice 2)
One atom of each set of equivalent atoms:
Nd1 0.2500 0.7500 0.0000 (multiplicity 2)
Hf1 0.2500 0.2500 0.4042 (multiplicity 2)
As1 0.2500 0.2500 0.7480 (multiplicity 2)
O1 0.2500 0.7500 0.5000 (multiplicity 2)


Version R
A plane-wave DFT calculation with PBE was carried out for a geometry-optimized NdHfAsO structure.

Output
M_tot in μB/f.u.: 0.0

Lattice parameters (Å, degrees): 4.2192 4.2192 8.9979 90.00 90.00 90.00
Space group P4/nmm (No. 129, origin choice 2)
One atom of each set of equivalent atoms:
Nd1 0.2500 0.2500 0.1220 (multiplicity 2)
Hf1 0.2500 0.7500 0.5000 (multiplicity 2)
As1 0.2500 0.2500 0.6880 (multiplicity 2)
O1 0.2500 0.7500 0.0000 (multiplicity 2)


Most stable of them? version R.


Version P
A plane-wave DFT calculation with PBE was carried out for a geometry-optimized Hf3Ni4As4 structure.

Output
M_tot in μB/f.u.: 0.0

Lattice parameters (Å, degrees): 5.7904 5.7904 11.4746 90.00 90.00 90.00
Space group I-42m (No. 121)
One atom of each set of equivalent atoms:
Hf1 0.0000 0.0000 0.0000 (multiplicity 2)
Hf2 0.0000 0.5000 0.2500 (multiplicity 4)
Ni1 0.2484 0.2484 0.6249 (multiplicity 8)
As1 0.0000 0.0000 0.2551 (multiplicity 4)
As2 0.0000 0.5000 0.0000 (multiplicity 4)


Version Q
A plane-wave DFT calculation with PBE was carried out for a geometry-optimized Hf3Ni4As4 structure.

Output
M_tot in μB/f.u.: 0.0

Lattice parameters (Å, degrees): 6.4012 3.8070 7.2470 90.00 90.02 90.00
Space group Pm (No. 6)
One atom of each set of equivalent atoms:
Hf1 0.0000 0.0000 0.0000 (multiplicity 1)
Hf2 0.0560 0.5000 0.3771 (multiplicity 1)
Hf3 0.5090 0.0000 0.8666 (multiplicity 1)
Ni1 0.1675 0.5000 0.7468 (multiplicity 1)
Ni2 0.3879 0.0000 0.2439 (multiplicity 1)
Ni3 0.6814 0.5000 0.1270 (multiplicity 1)
Ni4 0.9129 0.0000 0.6254 (multiplicity 1)
As1 0.2984 0.0000 0.5607 (multiplicity 1)
As2 0.2975 0.5000 0.0642 (multiplicity 1)
As3 0.7585 0.0000 0.3181 (multiplicity 1)
As4 0.7867 0.5000 0.7885 (multiplicity 1)


Most stable of them? version Q.